First-principles (PBE) data for a geometry-optimized ScAsBrO4 structure, as listed in the Alexandria database.

Geometry as CIF:
```
data_ScAsBrO4
_chemical_formula_sum 'Sc4 As4 Br4 O16'
_cell_length_a 11.291
_cell_length_b 6.081
_cell_length_c 6.511
_cell_angle_alpha 90.00
_cell_angle_beta 103.16
_cell_angle_gamma 90.00
_symmetry_space_group_name_H-M 'C 1 2/m 1'
_symmetry_Int_Tables_number 12
_symmetry_space_group_name_Hall '-C 2y'
loop_
_atom_site_label
_atom_site_type_symbol
_atom_site_fract_x
_atom_site_fract_y
_atom_site_fract_z
_atom_site_occupancy
Sc1 Sc 0.202 0.000 0.336 1
As1 As 0.134 0.000 0.767 1
Br1 Br 0.027 0.500 0.180 1
O1 O 0.019 0.000 0.269 1
O2 O 0.183 0.212 0.624 1
O3 O 0.206 0.000 0.025 1
```

* total moment: 0.0 μB per formula unit
* formation energy from raw total energies: -1793.2 meV/atom


First-principles (PBE) data for a geometry-optimized La3TlIn2 structure, as listed in the Alexandria database.

Geometry as CIF:
```
data_La3TlIn2
_chemical_formula_sum 'La3 Tl1 In2'
_cell_length_a 3.950
_cell_length_b 3.950
_cell_length_c 11.981
_cell_angle_alpha 90.00
_cell_angle_beta 90.00
_cell_angle_gamma 90.00
_symmetry_space_group_name_H-M 'P 4/m m m'
_symmetry_Int_Tables_number 123
_symmetry_space_group_name_Hall '-P 4 2'
loop_
_atom_site_label
_atom_site_type_symbol
_atom_site_fract_x
_atom_site_fract_y
_atom_site_fract_z
_atom_site_occupancy
La1 La 0.000 0.000 0.000 1
La2 La 0.000 0.000 0.330 1
Tl1 Tl 0.500 0.500 0.500 1
In1 In 0.500 0.500 0.166 1
```

* energy of formation from the pure elements: -0.487 eV per atom
* total moment: 0.0 μB per formula unit


First-principles (PBE) data for a geometry-optimized Cd2ReSi structure, as listed in the Alexandria database.

Geometry as CIF:
```
data_Cd2ReSi
_chemical_formula_sum 'Cd2 Re1 Si1'
_cell_length_a 2.784
_cell_length_b 5.067
_cell_length_c 5.132
_cell_angle_alpha 90.00
_cell_angle_beta 101.38
_cell_angle_gamma 90.00
_symmetry_space_group_name_H-M 'P 1 2/m 1'
_symmetry_Int_Tables_number 10
_symmetry_space_group_name_Hall '-P 2y'
loop_
_atom_site_label
_atom_site_type_symbol
_atom_site_fract_x
_atom_site_fract_y
_atom_site_fract_z
_atom_site_occupancy
Cd1 Cd 0.207 0.000 0.253 1
Re1 Re 0.500 0.500 0.000 1
Si1 Si 0.500 0.500 0.500 1
```

* total moment: 0.0 μB per formula unit
* formation energy from raw total energies: 547.7 meV/atom


First-principles (PBE) data for a geometry-optimized Pa2Tl3O7 structure, as listed in the Alexandria database.

Geometry as CIF:
```
data_Pa2Tl3O7
_chemical_formula_sum 'Pa4 Tl6 O14'
_cell_length_a 4.422
_cell_length_b 4.422
_cell_length_c 22.153
_cell_angle_alpha 90.00
_cell_angle_beta 90.00
_cell_angle_gamma 90.00
_symmetry_space_group_name_H-M 'I 4/m m m'
_symmetry_Int_Tables_number 139
_symmetry_space_group_name_Hall '-I 4 2'
loop_
_atom_site_label
_atom_site_type_symbol
_atom_site_fract_x
_atom_site_fract_y
_atom_site_fract_z
_atom_site_occupancy
Pa1 Pa 0.000 0.000 0.099 1
Tl1 Tl 0.000 0.000 0.305 1
Tl2 Tl 0.000 0.000 0.500 1
O1 O 0.000 0.000 0.000 1
O2 O 0.000 0.000 0.194 1
O3 O 0.000 0.500 0.097 1
```

* total moment: 0.0 μB per formula unit
* formation energy from raw total energies: -2308.1 meV/atom


First-principles (PBE) data for a geometry-optimized Tm3InS2 structure, as listed in the Alexandria database.

Geometry as CIF:
```
data_Tm3InS2
_chemical_formula_sum 'Tm12 In4 S8'
_cell_length_a 4.860
_cell_length_b 12.138
_cell_length_c 9.380
_cell_angle_alpha 90.00
_cell_angle_beta 90.00
_cell_angle_gamma 90.00
_symmetry_space_group_name_H-M 'C m c m'
_symmetry_Int_Tables_number 63
_symmetry_space_group_name_Hall '-C 2c 2'
loop_
_atom_site_label
_atom_site_type_symbol
_atom_site_fract_x
_atom_site_fract_y
_atom_site_fract_z
_atom_site_occupancy
Tm1 Tm 0.000 0.108 0.250 1
Tm2 Tm 0.000 0.366 0.050 1
In1 In 0.000 0.220 0.750 1
S1 S 0.000 0.000 0.000 1
S2 S 0.000 0.469 0.750 1
```

* total moment: 0.0 μB per formula unit
* formation energy from raw total energies: -1208.8 meV/atom


First-principles (PBE) data for a geometry-optimized La2CdTc structure, as listed in the Alexandria database.

Geometry as CIF:
```
data_La2CdTc
_chemical_formula_sum 'La8 Cd4 Tc4'
_cell_length_a 8.336
_cell_length_b 8.336
_cell_length_c 6.296
_cell_angle_alpha 90.00
_cell_angle_beta 90.00
_cell_angle_gamma 90.00
_symmetry_space_group_name_H-M 'I -4 2 d'
_symmetry_Int_Tables_number 122
_symmetry_space_group_name_Hall 'I -4 2bw'
loop_
_atom_site_label
_atom_site_type_symbol
_atom_site_fract_x
_atom_site_fract_y
_atom_site_fract_z
_atom_site_occupancy
La1 La 0.187 0.750 0.125 1
Cd1 Cd 0.000 0.000 0.500 1
Tc1 Tc 0.000 0.000 0.000 1
```

* energy of formation from the pure elements: 0.152 eV per atom
* total moment: 0.0 μB per formula unit